1.
The following is a DFT calculation (PBE) of crystalline Cr2InFe at its relaxed geometry.

Cell and atoms, written as POSCAR:
```
Cr2InFe
1.0
6.811 0.000 0.000
0.000 6.811 0.000
0.000 0.000 5.112
Cr In Fe
8 4 4
direct
0.183 0.250 0.125
0.250 0.683 0.375
0.250 0.817 0.875
0.317 0.250 0.625
0.683 0.750 0.625
0.750 0.183 0.875
0.750 0.317 0.375
0.817 0.750 0.125
0.000 0.000 0.500
0.000 0.500 0.750
0.500 0.000 0.250
0.500 0.500 0.000
0.000 0.000 0.000
0.000 0.500 0.250
0.500 0.000 0.750
0.500 0.500 0.500
```

Results
magnetization = 0.00 μB per cell
electronic total energy = -0.253 hartree per atom
symmetry = No. 122


2.
The following is a DFT calculation (PBE) of crystalline CrIn2Fe at its relaxed geometry.

Cell and atoms, written as POSCAR:
```
CrIn2Fe
1.0
4.661 0.000 0.000
0.000 4.661 0.000
0.000 0.000 3.151
Cr In Fe
1 2 1
direct
0.000 0.000 0.000
0.000 0.500 0.500
0.500 0.000 0.500
0.500 0.500 0.000
```

Results
polymorph energy (0 for the lowest one) = 116 meV/atom
magnetization = 5.24 μB per cell
electronic total energy = -0.202 hartree per atom
symmetry = No. 123


3.
The following is a DFT calculation (PBE) of crystalline Cr2InFe2 at its relaxed geometry.

Cell and atoms, written as POSCAR:
```
Cr2InFe2
1.0
6.964 0.000 0.000
0.000 6.964 0.000
0.000 0.000 2.671
Cr In Fe
4 2 4
direct
0.158 0.342 0.000
0.342 0.842 0.000
0.658 0.158 0.000
0.842 0.658 0.000
0.000 0.000 0.500
0.500 0.500 0.500
0.127 0.627 0.500
0.373 0.127 0.500
0.627 0.873 0.500
0.873 0.373 0.500
```

Results
magnetization = 0.07 μB per cell
electronic total energy = -0.275 hartree per atom
symmetry = No. 127


4.
The following is a DFT calculation (PBE) of crystalline CrIn2Fe at its relaxed geometry.

Cell and atoms, written as POSCAR:
```
CrIn2Fe
1.0
3.110 0.000 0.000
-1.555 2.693 0.000
0.000 0.000 26.435
Cr In Fe
3 6 3
direct
0.000 0.000 0.000
0.333 0.667 0.667
0.667 0.333 0.333
0.000 0.000 0.247
0.000 0.000 0.753
0.333 0.667 0.419
0.333 0.667 0.914
0.667 0.333 0.086
0.667 0.333 0.581
0.000 0.000 0.500
0.333 0.667 0.167
0.667 0.333 0.833
```

Results
polymorph energy (0 for the lowest one) = 203 meV/atom
magnetization = 17.79 μB per cell
electronic total energy = -0.199 hartree per atom
symmetry = No. 166


5.
The following is a DFT calculation (PBE) of crystalline CrIn2Fe at its relaxed geometry.

Cell and atoms, written as POSCAR:
```
CrIn2Fe
1.0
6.338 0.000 0.000
0.000 6.338 0.000
0.000 0.000 6.338
Cr In Fe
4 8 4
direct
0.000 0.000 0.000
0.000 0.500 0.500
0.500 0.000 0.500
0.500 0.500 0.000
0.250 0.250 0.250
0.250 0.250 0.750
0.250 0.750 0.250
0.250 0.750 0.750
0.750 0.250 0.250
0.750 0.250 0.750
0.750 0.750 0.250
0.750 0.750 0.750
0.000 0.000 0.500
0.000 0.500 0.000
0.500 0.000 0.000
0.500 0.500 0.500
```

Results
polymorph energy (0 for the lowest one) = 359 meV/atom
magnetization = 0.00 μB per cell
electronic total energy = -0.193 hartree per atom
symmetry = No. 225


6.
The following is a DFT calculation (PBE) of crystalline CrIn2Fe at its relaxed geometry.

Cell and atoms, written as POSCAR:
```
CrIn2Fe
1.0
3.394 0.000 0.000
0.000 3.394 0.000
0.000 0.000 6.053
Cr In Fe
1 2 1
direct
0.000 0.000 0.000
0.500 0.500 0.260
0.500 0.500 0.740
0.000 0.000 0.500
```

Results
polymorph energy (0 for the lowest one) = 78 meV/atom
magnetization = 5.66 μB per cell
electronic total energy = -0.203 hartree per atom
symmetry = No. 123


7.
The following is a DFT calculation (PBE) of crystalline Cr2InFe at its relaxed geometry.

Cell and atoms, written as POSCAR:
```
Cr2InFe
1.0
2.699 0.000 0.000
0.000 2.699 0.000
0.000 0.000 7.442
Cr In Fe
2 1 1
direct
0.000 0.000 0.210
0.000 0.000 0.790
0.500 0.500 0.500
0.500 0.500 0.000
```

Results
magnetization = 0.00 μB per cell
electronic total energy = -0.265 hartree per atom
symmetry = No. 123


8.
The following is a DFT calculation (PBE) of crystalline Cr2InFeMo at its relaxed geometry.

Cell and atoms, written as POSCAR:
```
Cr2InFeMo
1.0
4.623 0.000 0.000
0.000 4.623 0.000
0.000 0.000 4.454
Cr In Fe Mo
2 1 1 1
direct
0.000 0.500 0.000
0.500 0.000 0.000
0.000 0.000 0.000
0.000 0.000 0.500
0.500 0.500 0.500
```

Results
magnetization = 1.78 μB per cell
electronic total energy = -0.215 hartree per atom
symmetry = No. 123